Entry from the Alexandria database: a relaxed CoSiBr crystal (PBE).

Lattice parameters (Å, degrees): 3.596 8.585 8.585 33.53 90.00 90.00
Fractional positions:
Co 0.000 0.244 0.756
Co 0.000 0.756 0.244
Si 0.500 0.062 0.062
Si 0.500 0.513 0.513
Br 0.000 0.878 0.878
Br 0.500 0.199 0.199

Summary:
total energy	-4.958	eV per atom
raw formation energy	-0.224	eV per atom
offset from the most stable computed form	0.050	eV/atom
N(E_F)	0.666	states/eV per atom